Compound: Na2Ag3Cl8
Source: Alexandria via LeMat-Bulk
Functional: PBE
Structure: relaxed

Cell and atoms, written as extended XYZ:
```
13
Lattice="6.835 0.000 0.000 2.474 7.382 0.000 2.840 2.828 6.782" Properties=species:S:1:pos:R:3 pbc="T T T"
Na 2.453 2.883 1.828
Na 9.696 7.327 4.954
Ag 0.000 0.000 0.000
Ag 5.999 6.236 1.782
Ag 6.150 3.974 5.000
Cl 3.896 7.324 2.328
Cl 4.152 4.958 6.036
Cl 7.601 9.173 5.331
Cl 5.101 4.012 2.062
Cl 7.048 6.198 4.720
Cl 4.548 1.037 1.451
Cl 7.997 5.252 0.746
Cl 8.253 2.886 4.453
```

The calculation puts the distance to the lowest polymorph of the same formula at 9 meV per atom. As for the density of states at the Fermi level: 6.14 states/eV/f.u. The density is 3.17 g/cm³. The value obtained for the formation energy without anion corrections is -0.761 eV/atom. The total energy comes out at -2.759 eV per atom. As for the symmetry: P-1.